This record from Alexandria via LeMat-Bulk describes a geometry-optimized NaCaMoCl6 structure. The functional is GGA-PBE.

Its uncorrected formation energy is -1.5708 eV per atom. For the volume, the calculation gives 486 Å³ per cell. Its calculated density is 2.5 g/cm3.

It has space group P-31c (No. 163), with a = 6.7333 Å, b = 6.7333 Å, c = 12.3653 Å, α = 90.00°, β = 90.00° and γ = 120.00°. The distinct sites, in fractional coordinates, are Na at (0.0000, 0.0000, 0.0000), Ca at (0.3333, 0.6667, 0.2500), Mo at (0.3333, 0.6667, 0.7500) and Cl at (0.0315, 0.3707, 0.6338).



This record from Alexandria via LeMat-Bulk describes a geometry-optimized CaMoP2Cl structure. The functional is GGA-PBE.

The calculation puts the energy above the most stable polymorph in this dataset at 1.407 eV/atom. Its uncorrected formation energy is 0.9845 eV per atom. For the volume, the calculation gives 139 Å³ per cell. Its calculated density is 2.8 g/cm3.

It has space group P4/mmm (No. 123), with a = 5.278 Å, b = 5.278 Å, c = 4.972 Å, α = 90.00°, β = 90.00° and γ = 90.00°. The distinct sites, in fractional coordinates, are Ca at (0.000, 0.000, 0.000), Mo at (0.500, 0.500, 0.500), P at (0.000, 0.500, 0.000) and Cl at (0.000, 0.000, 0.500).